[1]
The following is a DFT calculation (PBE-GGA) of a relaxed structure of Mg2MoW.

Cell lengths 4.6973, 2.7223, 5.5874 Å; angles 72.87, 90.00, 90.00 degrees
With the nearest neighbours (Å) after each atom.
Element x y z (fractional)
Mo: 0.5000 0.2500 0.2500  2 Mo 2.72, 2 W 2.72, 4 Mg 2.91
Mg: 0.0000 0.4932 0.5001  4 Mg 2.72-2.73, 2 Mo 2.91, 2 W 2.92
Mg: 0.0000 0.0068 0.9999  4 Mg 2.72-2.73, 2 Mo 2.91, 2 W 2.92
W: 0.5000 0.7500 0.7500  2 W 2.72, 2 Mo 2.72, 4 Mg 2.92


[2]
The following is a DFT calculation (PBE-GGA) of a relaxed structure of Mg2MoW.

Cell lengths 3.8355, 3.8355, 4.6497 Å; angles 90.00, 90.00, 90.00 degrees
With the nearest neighbours (Å) after each atom.
Element x y z (fractional)
W: 0.0000 0.5000 0.5000  4 Mo 2.71, 8 Mg 3.01
Mo: 0.5000 0.0000 0.5000  4 W 2.71, 8 Mg 3.01
Mg: 0.5000 0.5000 0.0000  4 Mg 2.71, 4 W 3.01, 4 Mo 3.01
Mg: 0.0000 0.0000 0.0000  4 Mg 2.71, 4 Mo 3.01, 4 W 3.01


For reference, offset from the most stable computed form by record: 166, 185 meV per atom.
For reference, DFT formation energy by record: 0.389, 0.407 eV/atom.
For reference, V by record: 68, 68 Å³ per cell.